[1]
An optimized crystal structure of Na2AcInGe2. Source: Alexandria via LeMat-Bulk, functional PBE.

Cell and atoms, written as CIF:
```
data_Na2AcInGe2
_chemical_formula_sum 'Na4 Ac2 In2 Ge4'
_space_group_name_H-M_alt 'P m c 21'
_space_group_IT_number 26
_cell_length_a 4.587
_cell_length_b 9.084
_cell_length_c 7.922
_cell_angle_alpha 90.00
_cell_angle_beta 90.00
_cell_angle_gamma 90.00
loop_
_space_group_symop_operation_xyz
'x,y,z'
'-x,-y,z+1/2'
'-x,y,z'
'x,-y,z+1/2'
loop_
_atom_site_label
_atom_site_fract_x
_atom_site_fract_y
_atom_site_fract_z
Na1 0.000 0.075 0.000
Na2 0.500 0.164 0.321
Ac1 0.500 0.432 0.949
In1 0.000 0.306 0.607
Ge1 0.000 0.382 0.240
Ge2 0.500 0.154 0.705
```

Calculated values
Mass density ... 5.36 Mg/m³
Energy of formation ... -360 meV/atom


[2]
An optimized crystal structure of Sm2CuH. Source: Alexandria via LeMat-Bulk, functional PBE.

Cell and atoms, written as CIF:
```
data_Sm2CuH
_chemical_formula_sum 'Sm2 Cu1 H1'
_space_group_name_H-M_alt 'P 4/m m m'
_space_group_IT_number 123
_space_group_name_Hall '-P 4 2'
_cell_length_a 3.320
_cell_length_b 3.320
_cell_length_c 7.086
_cell_angle_alpha 90.00
_cell_angle_beta 90.00
_cell_angle_gamma 90.00
loop_
_atom_site_label
_atom_site_fract_x
_atom_site_fract_y
_atom_site_fract_z
Sm1 0.000 0.000 0.238
Cu1 0.500 0.500 0.500
H1 0.500 0.500 0.000
```

Calculated values
Mass density ... 7.76 Mg/m³
Relative energy among the computed polymorphs ... 59 kJ/mol of formula units


[3]
An optimized crystal structure of SmScPt. Source: Alexandria via LeMat-Bulk, functional PBE.

Cell and atoms, written as CIF:
```
data_SmScPt
_chemical_formula_sum 'Sm2 Sc2 Pt2'
_space_group_name_H-M_alt 'I 4 m m'
_space_group_IT_number 107
_space_group_name_Hall 'I 4 -2'
_cell_length_a 3.450
_cell_length_b 3.450
_cell_length_c 11.941
_cell_angle_alpha 90.00
_cell_angle_beta 90.00
_cell_angle_gamma 90.00
loop_
_atom_site_label
_atom_site_fract_x
_atom_site_fract_y
_atom_site_fract_z
Sm1 0.000 0.000 0.000
Sc1 0.000 0.000 0.277
Pt1 0.000 0.000 0.667
```

Calculated values
Mass density ... 9.12 Mg/m³
Relative energy among the computed polymorphs ... 45 kJ/mol of formula units
Energy of formation ... -757 meV/atom